Here is YAs2Ru after structural relaxation from Alexandria. Energies are from PBE.

```
YAs2Ru
1.0
4.689 0.000 0.000
0.000 4.689 0.000
0.000 0.000 3.336
Y As Ru
1 2 1
Direct
0.000 0.000 0.000
0.000 0.500 0.500
0.500 0.000 0.500
0.500 0.500 0.000
```

energy of formation	-0.3837	eV per atom
energy above the lowest structure with this stoichiometry	343	meV/atom
calculated density	7.69	g/cm³
space-group type	P4/mmm, No. 123
total magnetization	0.00	μB per formula unit
volume	18.340	A^3/atom



Here is ZrV2SnH after structural relaxation from Alexandria. Energies are from PBE.

```
ZrV2SnH
1.0
4.106 0.000 0.000
0.000 4.106 0.000
0.000 0.000 4.288
Zr V Sn H
1 2 1 1
Direct
0.000 0.000 0.000
0.000 0.500 0.500
0.500 0.000 0.500
0.500 0.500 0.000
0.000 0.000 0.500
```

total energy	-34.8	eV for the cell shown
calculated density	7.18	g/cm³
space-group type	P4/mmm, No. 123
total magnetization	0.00	μB per formula unit
volume	14.461	A^3/atom



Here is Rb4Zr3AgSe8 after structural relaxation from Alexandria. Energies are from PBE.

```
Rb4Zr3AgSe8
1.0
4.073 2.351 7.929
-4.073 2.351 7.929
0.000 -4.703 7.929
Rb Zr Ag Se
4 3 1 8
Direct
0.000 0.000 0.000
0.000 0.500 0.500
0.500 0.000 0.500
0.500 0.500 0.000
0.000 0.000 0.500
0.000 0.500 0.000
0.500 0.000 0.000
0.500 0.500 0.500
0.214 0.737 0.737
0.231 0.231 0.231
0.263 0.263 0.786
0.263 0.786 0.263
0.737 0.214 0.737
0.737 0.737 0.214
0.769 0.769 0.769
0.786 0.263 0.263
```

calculated density	4.94	g/cm³
space-group type	R-3m, No. 166
total magnetization	0.00	μB per formula unit
volume	28.476	A^3/atom
formation energy without anion corrections	-1166	meV/atom